No. 1
# CaC4 PBE relaxed
data_CaC4
_chemical_formula_sum 'Ca2 C8'
_cell_length_a 5.611
_cell_length_b 5.611
_cell_length_c 4.188
_cell_angle_alpha 90.00
_cell_angle_beta 90.00
_cell_angle_gamma 90.00
_symmetry_space_group_name_H-M 'I 4/m'
_symmetry_Int_Tables_number 87
_symmetry_space_group_name_Hall '-I 4'
loop_
_atom_site_label
_atom_site_fract_x
_atom_site_fract_y
_atom_site_fract_z
_atom_site_occupancy
Ca1 0.000 0.000 0.000 1
C1 0.032 0.387 0.500 1
# Density ... 2.2 Mg/m³
# Relative energy among the computed polymorphs ... 1.1525 eV/atom
# E_form ... 1.47 eV per atom
# VASP energy ... -6.3091 eV/atom

***

No. 2
# CaC3 PBE relaxed
data_CaC3
_chemical_formula_sum 'Ca4 C12'
_cell_length_a 3.250
_cell_length_b 3.250
_cell_length_c 16.760
_cell_angle_alpha 90.00
_cell_angle_beta 90.00
_cell_angle_gamma 90.00
_symmetry_space_group_name_H-M 'I 4/m m m'
_symmetry_Int_Tables_number 139
_symmetry_space_group_name_Hall '-I 4 2'
loop_
_atom_site_label
_atom_site_fract_x
_atom_site_fract_y
_atom_site_fract_z
_atom_site_occupancy
Ca1 0.000 0.000 0.130 1
C1 0.000 0.000 0.454 1
C2 0.000 0.500 0.000 1
C3 0.000 0.500 0.250 1
# Density ... 2.9 Mg/m³
# Relative energy among the computed polymorphs ... 1.5063 eV/atom
# E_form ... 2.03 eV per atom
# VASP energy ... -5.3904 eV/atom

***

No. 3
# CaC2 PBE relaxed
data_CaC2
_chemical_formula_sum 'Ca4 C8'
_cell_length_a 3.945
_cell_length_b 14.956
_cell_length_c 3.265
_cell_angle_alpha 90.00
_cell_angle_beta 90.00
_cell_angle_gamma 90.00
_symmetry_space_group_name_H-M 'C m m m'
_symmetry_Int_Tables_number 65
_symmetry_space_group_name_Hall '-C 2 2'
loop_
_atom_site_label
_atom_site_fract_x
_atom_site_fract_y
_atom_site_fract_z
_atom_site_occupancy
Ca1 0.000 0.119 0.000 1
C1 0.000 0.000 0.500 1
C2 0.000 0.450 0.500 1
C3 0.000 0.500 0.000 1
# Density ... 2.2 Mg/m³
# Relative energy among the computed polymorphs ... 1.5776 eV/atom
# E_form ... 1.59 eV per atom
# VASP energy ... -5.2241 eV/atom

***

No. 4
# CaC2 PBE relaxed
data_CaC2
_chemical_formula_sum 'Ca4 C8'
_cell_length_a 3.738
_cell_length_b 8.788
_cell_length_c 4.764
_cell_angle_alpha 90.00
_cell_angle_beta 90.00
_cell_angle_gamma 90.00
_symmetry_space_group_name_H-M 'C m c m'
_symmetry_Int_Tables_number 63
_symmetry_space_group_name_Hall '-C 2c 2'
loop_
_atom_site_label
_atom_site_fract_x
_atom_site_fract_y
_atom_site_fract_z
_atom_site_occupancy
Ca1 0.000 0.147 0.250 1
C1 0.000 0.438 0.103 1
# Density ... 2.7 Mg/m³
# Relative energy among the computed polymorphs ... 0.0045 eV/atom
# E_form ... 0.02 eV per atom
# VASP energy ... -6.7972 eV/atom

***

No. 5
# CaC PBE relaxed
data_CaC
_chemical_formula_sum 'Ca2 C2'
_cell_length_a 3.751
_cell_length_b 3.977
_cell_length_c 7.004
_cell_angle_alpha 99.39
_cell_angle_beta 90.25
_cell_angle_gamma 118.01
_symmetry_space_group_name_H-M 'P 1'
_symmetry_Int_Tables_number 1
loop_
_symmetry_equiv_pos_as_xyz
'x,y,z'
loop_
_atom_site_label
_atom_site_fract_x
_atom_site_fract_y
_atom_site_fract_z
_atom_site_occupancy
Ca1 0.000 0.000 0.000 1
Ca2 0.211 0.414 0.506 1
C1 0.347 0.690 0.184 1
C2 0.508 0.007 0.309 1
# Density ... 1.9 Mg/m³
# Relative energy among the computed polymorphs ... 0.0751 eV/atom
# E_form ... 0.07 eV per atom
# VASP energy ... -5.5387 eV/atom

***

No. 6
# CaC3 PBE relaxed
data_CaC3
_chemical_formula_sum 'Ca1 C3'
_cell_length_a 3.517
_cell_length_b 3.517
_cell_length_c 3.517
_cell_angle_alpha 90.00
_cell_angle_beta 90.00
_cell_angle_gamma 90.00
_symmetry_space_group_name_H-M 'P m -3 m'
_symmetry_Int_Tables_number 221
_symmetry_space_group_name_Hall '-P 4 2 3'
loop_
_atom_site_label
_atom_site_fract_x
_atom_site_fract_y
_atom_site_fract_z
_atom_site_occupancy
Ca1 0.000 0.000 0.000 1
C1 0.000 0.500 0.500 1
# Density ... 2.9 Mg/m³
# Relative energy among the computed polymorphs ... 2.1859 eV/atom
# E_form ... 2.71 eV per atom
# VASP energy ... -4.7109 eV/atom